No. 1
# TaPtSe2

TaPtSe2 after structural relaxation (GGA-PBE, Alexandria via LeMat-Bulk).

```
data_TaPtSe2
_space_group_name_H-M_alt 'P 4 m m'
_space_group_IT_number 99
_space_group_name_Hall 'P 4 -2'
_cell_length_a 3.5305
_cell_length_b 3.5305
_cell_length_c 6.7440
_cell_angle_alpha 90.00
_cell_angle_beta 90.00
_cell_angle_gamma 90.00
loop_
_atom_site_label
_atom_site_fract_x
_atom_site_fract_y
_atom_site_fract_z
Ta1 0.0000 0.0000 0.0000
Pt1 0.5000 0.5000 0.2066
Se1 0.0000 0.0000 0.3673
Se2 0.5000 0.5000 0.8249
```

Output
- ΔE_f (raw): -313 meV per atom
- Total magnetization: 0.0 μB per cell
- Distance to the lowest polymorph of the same formula: 0.085 eV/atom


No. 2
# TaPtSe2

TaPtSe2 after structural relaxation (GGA-PBE, Alexandria via LeMat-Bulk).

```
data_TaPtSe2
_space_group_name_H-M_alt 'R 3 m'
_space_group_IT_number 160
_space_group_name_Hall 'R 3 -2"'
_cell_length_a 3.8676
_cell_length_b 3.8676
_cell_length_c 21.3712
_cell_angle_alpha 90.00
_cell_angle_beta 90.00
_cell_angle_gamma 120.00
loop_
_atom_site_label
_atom_site_fract_x
_atom_site_fract_y
_atom_site_fract_z
Ta1 0.0000 0.0000 0.0000
Pt1 0.0000 0.0000 0.2726
Se1 0.0000 0.0000 0.5456
Se2 0.0000 0.0000 0.7399
```

Output
- ΔE_f (raw): -336 meV per atom
- Total magnetization: 0.0 μB per cell
- Distance to the lowest polymorph of the same formula: 0.061 eV/atom


No. 3
# Ta2PtSe

Ta2PtSe after structural relaxation (GGA-PBE, Alexandria via LeMat-Bulk).

```
data_Ta2PtSe
_space_group_name_H-M_alt 'I m m 2'
_space_group_IT_number 44
_space_group_name_Hall 'I 2 -2'
_cell_length_a 3.0863
_cell_length_b 4.6207
_cell_length_c 9.5797
_cell_angle_alpha 90.00
_cell_angle_beta 90.00
_cell_angle_gamma 90.00
loop_
_atom_site_label
_atom_site_fract_x
_atom_site_fract_y
_atom_site_fract_z
Ta1 0.0000 0.0000 0.0000
Ta2 0.0000 0.5000 0.2217
Pt1 0.0000 0.5000 0.7586
Se1 0.0000 0.0000 0.5058
```

Output
- ΔE_f (raw): -224 meV per atom
- Total magnetization: 0.0 μB per cell


No. 4
# TaPtSe

TaPtSe after structural relaxation (GGA-PBE, Alexandria via LeMat-Bulk).

```
data_TaPtSe
_space_group_name_H-M_alt 'P -6 m 2'
_space_group_IT_number 187
_space_group_name_Hall 'P -6 2'
_cell_length_a 4.3487
_cell_length_b 4.3487
_cell_length_c 3.2399
_cell_angle_alpha 90.00
_cell_angle_beta 90.00
_cell_angle_gamma 120.00
loop_
_atom_site_label
_atom_site_fract_x
_atom_site_fract_y
_atom_site_fract_z
Ta1 0.0000 0.0000 0.0000
Pt1 0.6667 0.3333 0.5000
Se1 0.3333 0.6667 0.0000
```

Output
- ΔE_f (raw): -141 meV per atom
- Total magnetization: 0.0 μB per cell
- Distance to the lowest polymorph of the same formula: 0.352 eV/atom


Which of these has the lowest ΔE_f (raw)?
number 2